1.
A relaxed CsBa3Cl crystal, computed with GGA-PBEsol.

## Properties
- formation energy without anion corrections (eV/atom) = -0.54
- crystal system = cubic
- V (Å³ per atom) = 52.97
- space group = Pm-3m (221)

The structure in POSCAR format:
```
CsBa3Cl
1.0
6.4218 0.0000 0.0000
0.0000 6.4218 0.0000
0.0000 0.0000 6.4218
Ba Cl Cs
3 1 1
Cartesian
0.0000 3.2109 0.0000 Ba
0.0000 0.0000 3.2109 Ba
3.2109 0.0000 0.0000 Ba
0.0000 0.0000 0.0000 Cl
3.2109 3.2109 3.2109 Cs
```

---

2.
A relaxed CrSn3Pd crystal, computed with GGA-PBEsol.

## Properties
- formation energy from the elements (eV/atom) = 0.4653
- crystal system = cubic
- V (Å³ per atom) = 23.34
- space group = Pm-3m (221)

The structure in POSCAR format:
```
CrSn3Pd
1.0
4.8865 0.0000 0.0000
0.0000 4.8865 0.0000
0.0000 0.0000 4.8865
Cr Sn Pd
1 3 1
Cartesian
0.0000 0.0000 0.0000 Cr
2.4432 0.0000 0.0000 Sn
0.0000 0.0000 2.4432 Sn
0.0000 2.4432 0.0000 Sn
2.4432 2.4432 2.4432 Pd
```

---

Q: Look up the V of the first one.
A: 52.97 Å³ per atom

---

Q: Which value of V does entry 2 give?
A: 23.34 Å³ per atom

---

Q: Which value of V does entry 1 give?
A: 52.97 Å³ per atom